Entry 1:
Ba2LiSnF after structural relaxation. Source: the Alexandria database, functional PBE.

Symmetry: P4/mmm
Formation energy without anion corrections, eV/atom: -1.39
Total moment, μB per atom: 0.0000

a b c (Å): 5.6290 5.6290 4.6832
angles (deg): 90.00 90.00 90.00
Sites, in units of the cell vectors:
F 0.0000 0.0000 0.0000
Li 0.0000 0.0000 0.5000
Ba 0.0000 0.5000 0.0000
Ba 0.5000 0.0000 0.0000
Sn 0.5000 0.5000 0.5000



Entry 2:
Bi2BPN after structural relaxation. Source: the Alexandria database, functional PBE.

Symmetry: P4/mmm
Formation energy without anion corrections, eV/atom: 1.28
Total moment, μB per atom: 0.0000
Energy above the lowest structure with this stoichiometry, eV per atom: 0.0000

a b c (Å): 5.0875 3.6969 5.0875
angles (deg): 90.00 90.00 90.00
Sites, in units of the cell vectors:
P 0.0000 0.5000 0.0000
B 0.5000 0.5000 0.5000
Bi 0.0000 0.0000 0.5000
Bi 0.5000 0.0000 0.0000
N 0.0000 0.0000 0.0000



Entry 3:
Mg2MoSe2 after structural relaxation. Source: the Alexandria database, functional PBE.

Symmetry: P4/mbm
Formation energy without anion corrections, eV/atom: 0.11
Total moment, μB per atom: 0.4016
Energy above the lowest structure with this stoichiometry, eV per atom: 0.0000

a b c (Å): 7.4001 7.4001 3.4904
angles (deg): 90.00 90.00 90.00
Last column: magnetic moment on the atom in μB.
Sites, in units of the cell vectors:
Mo 0.0000 0.0000 0.0000  1.62
Mo 0.5000 0.5000 0.0000  1.62
Mg 0.3616 0.8616 0.0000  0.00
Mg 0.8616 0.6384 0.0000  0.00
Mg 0.6384 0.1384 0.0000  0.00
Mg 0.1384 0.3616 0.0000  0.00
Se 0.1719 0.6719 0.5000  0.00
Se 0.6719 0.8281 0.5000  0.00
Se 0.8281 0.3281 0.5000  0.00
Se 0.3281 0.1719 0.5000  0.00



Entry 4:
NiMo2Au after structural relaxation. Source: the Alexandria database, functional PBE.

Symmetry: I-4m2
Total moment, μB per atom: 0.0000
Energy above the lowest structure with this stoichiometry, eV per atom: 0.1231
ΔE_f, eV/atom: 0.24

a b c (Å): 4.7574 4.7574 4.7576
angles (deg): 130.70 130.70 72.29
Sites, in units of the cell vectors:
Au 0.2500 0.7500 0.5000
Mo 0.0000 0.0000 0.0000
Mo 0.7501 0.2501 0.5000
Ni 0.5000 0.5000 0.0000